Computed, not measured: CdCoSeO after structural relaxation at the PBE with a Hubbard U level of DFT.

Geometry as POSCAR:
```
CdCoSeO
1.0
-4.935 1.966 -3.348
-1.888 -2.673 1.213
-3.960 7.424 10.198
O Co Se Cd
4 4 4 4
Direct
0.262 0.250 0.160
0.238 0.750 0.660
0.738 0.750 0.840
0.762 0.250 0.340
0.801 0.250 0.916
0.699 0.750 0.416
0.301 0.250 0.584
0.199 0.750 0.084
0.799 0.750 0.069
0.299 0.750 0.431
0.701 0.250 0.569
0.201 0.250 0.931
0.395 0.750 0.809
0.895 0.750 0.691
0.605 0.250 0.191
0.105 0.250 0.309
```

## Properties
As for the space group: Pnma (62). As for the final energy: -66.25 eV/cell.